Density functional theory data (PBE) for a geometry-optimized AcTb4Hg5 structure.

Geometry as POSCAR:
```
AcTb4Hg5
1.0
3.7848 0.0000 0.0000
0.0000 3.7848 0.0000
0.0000 0.0000 19.1257
Ac Tb Hg
1 4 5
Direct
0.0000 0.0000 0.0000
0.0000 0.0000 0.2114
0.0000 0.0000 0.4041
0.0000 0.0000 0.5959
0.0000 0.0000 0.7886
0.5000 0.5000 0.1194
0.5000 0.5000 0.3076
0.5000 0.5000 0.5000
0.5000 0.5000 0.6924
0.5000 0.5000 0.8806
```

Its symmetry is No. 123. The volume is 274 Å³/f.u. The calculation puts the density at 11.3 g/cm3. The density of states at the Fermi level comes out at 10.89 states/eV/cell. The value obtained for the total energy is -2.883 eV per atom.



Density functional theory data (PBE) for a geometry-optimized AcTbHg2 structure.

Geometry as POSCAR:
```
AcTbHg2
1.0
3.8454 0.0000 0.0000
0.0000 3.8454 0.0000
0.0000 0.0000 7.9582
Ac Tb Hg
1 1 2
Direct
0.0000 0.0000 0.0000
0.0000 0.0000 0.5000
0.5000 0.5000 0.2831
0.5000 0.5000 0.7169
```

Its symmetry is No. 123. The volume is 118 Å³/f.u. The calculation puts the density at 11.1 g/cm3. The density of states at the Fermi level comes out at 4.25 states/eV/cell. The value obtained for the total energy is -2.797 eV per atom.